# 1
The following is a DFT calculation (PBE) of LiHfAg after structural relaxation.

Calculated values
- energy above the most stable polymorph in this dataset (meV per atom) = 206.5
- ΔE_f (eV/atom) = 0.08

Cell: 3.0863 3.0863 45.4593 Å, 90.00 90.00 120.00°
Space group R-3m (No. 166, hexagonal axes)
Symmetry-distinct sites (fractional):
Li  0.0000  0.0000  0.1941 x6
Hf  0.0000  0.0000  0.3603 x6
Ag  0.0000  0.0000  0.2525 x6

***

# 2
The following is a DFT calculation (PBE) of Li2HfAg after structural relaxation.

Calculated values
- energy above the most stable polymorph in this dataset (meV per atom) = 0.0
- ΔE_f (eV/atom) = 0.14

Cell: 2.9267 2.9267 30.6475 Å, 90.00 90.00 120.00°
Space group R-3m (No. 166, hexagonal axes)
Symmetry-distinct sites (fractional):
Li  0.0000  0.0000  0.0937 x6
Hf  0.0000  0.0000  0.0000 x3
Ag  0.0000  0.0000  0.5000 x3

***

# 3
The following is a DFT calculation (PBE) of Li2HfAg2 after structural relaxation.

Calculated values
- energy above the most stable polymorph in this dataset (meV per atom) = 114.4
- ΔE_f (eV/atom) = 0.08

Cell: 7.776 7.776 2.887 Å, 90.00 90.00 90.00°
Space group P4/mbm (No. 127)
Symmetry-distinct sites (fractional):
Li  0.153  0.347  0.000 x4
Hf  0.000  0.000  0.500 x2
Ag  0.143  0.643  0.500 x4

***

# 4
The following is a DFT calculation (PBE) of Li2HfAg after structural relaxation.

Calculated values
- energy above the most stable polymorph in this dataset (meV per atom) = 297.4
- ΔE_f (eV/atom) = 0.44

Cell: 7.312 7.312 5.571 Å, 90.00 90.00 90.00°
Space group I-42d (No. 122)
Symmetry-distinct sites (fractional):
Li  0.214  0.250  0.125 x8
Hf  0.000  0.000  0.500 x4
Ag  0.000  0.000  0.000 x4

***

# 5
The following is a DFT calculation (PBE) of Li2HfAg after structural relaxation.

Calculated values
- energy above the most stable polymorph in this dataset (meV per atom) = 154.8
- ΔE_f (eV/atom) = 0.30

Cell: 6.398 6.398 6.398 Å, 90.00 90.00 90.00°
Space group Fm-3m (No. 225)
Symmetry-distinct sites (fractional):
Li  0.250  0.250  0.250 x8
Hf  0.000  0.000  0.000 x4
Ag  0.000  0.000  0.500 x4

***

# 6
The following is a DFT calculation (PBE) of LiHfAg3 after structural relaxation.

Calculated values
- energy above the most stable polymorph in this dataset (meV per atom) = 0.0
- ΔE_f (eV/atom) = 0.39

Cell: 4.487 4.487 4.487 Å, 90.00 90.00 90.00°
Space group Pm-3m (No. 221)
Symmetry-distinct sites (fractional):
Li  0.000  0.000  0.000 x1
Hf  0.500  0.500  0.500 x1
Ag  0.000  0.000  0.500 x3

***

# 7
The following is a DFT calculation (PBE) of Li3HfAg after structural relaxation.

Calculated values
- ΔE_f (eV/atom) = 1.34

Cell: 5.248 5.248 5.248 Å, 90.00 90.00 90.00°
Space group Pm-3m (No. 221)
Symmetry-distinct sites (fractional):
Li  0.000  0.000  0.500 x3
Hf  0.000  0.000  0.000 x1
Ag  0.500  0.500  0.500 x1

***

# 8
The following is a DFT calculation (PBE) of Li4HfAg5 after structural relaxation.

Calculated values
- ΔE_f (eV/atom) = -0.15

Cell: 3.136 3.136 16.883 Å, 90.00 90.00 90.00°
Space group P4/mmm (No. 123)
Symmetry-distinct sites (fractional):
Li  0.000  0.000  0.095 x2
Li  0.000  0.000  0.284 x2
Hf  0.000  0.000  0.500 x1
Ag  0.500  0.500  0.000 x1
Ag  0.500  0.500  0.190 x2
Ag  0.500  0.500  0.380 x2

***

# 9
The following is a DFT calculation (PBE) of Li2HfAg2 after structural relaxation.

Calculated values
- energy above the most stable polymorph in this dataset (meV per atom) = 109.4
- ΔE_f (eV/atom) = 0.08

Cell: 3.625 3.625 13.776 Å, 90.00 90.00 90.00°
Space group I4/mmm (No. 139)
Symmetry-distinct sites (fractional):
Li  0.000  0.500  0.250 x4
Hf  0.000  0.000  0.000 x2
Ag  0.000  0.000  0.397 x4

***

# 10
The following is a DFT calculation (PBE) of LiHf2MgAg after structural relaxation.

Calculated values
- ΔE_f (eV/atom) = 0.81

Cell: 4.693 4.693 4.687 Å, 90.00 90.00 90.00°
Space group P4/mmm (No. 123)
Symmetry-distinct sites (fractional):
Li  0.000  0.000  0.000 x1
Hf  0.000  0.500  0.000 x2
Mg  0.000  0.000  0.500 x1
Ag  0.500  0.500  0.500 x1

***

# 11
The following is a DFT calculation (PBE) of LiHf2AgN after structural relaxation.

Calculated values
- formation energy without anion corrections (kcal/mol of atoms) = -14.07

Cell: 4.388 4.388 4.104 Å, 90.00 90.00 90.00°
Space group P4/mmm (No. 123)
Symmetry-distinct sites (fractional):
Li  0.000  0.000  0.000 x1
Hf  0.000  0.500  0.500 x2
Ag  0.500  0.500  0.000 x1
N  0.000  0.000  0.500 x1

***

# 12
The following is a DFT calculation (PBE) of NaLi2HfAg after structural relaxation.

Calculated values
- ΔE_f (eV/atom) = 0.96

Cell: 5.523 5.523 5.298 Å, 90.00 90.00 90.00°
Space group P4/mmm (No. 123)
Symmetry-distinct sites (fractional):
Na  0.000  0.000  0.000 x1
Li  0.000  0.500  0.500 x2
Hf  0.500  0.500  0.500 x1
Ag  0.500  0.500  0.000 x1

***

# 13
The following is a DFT calculation (PBE) of LiHfAg2O after structural relaxation.

Calculated values
- formation energy without anion corrections (kcal/mol of atoms) = 16.25

Cell: 4.064 4.064 5.351 Å, 90.00 90.00 90.00°
Space group P4/mmm (No. 123)
Symmetry-distinct sites (fractional):
Li  0.000  0.000  0.000 x1
Hf  0.000  0.000  0.500 x1
Ag  0.000  0.500  0.000 x2
O  0.500  0.500  0.500 x1

***

# 14
The following is a DFT calculation (PBE) of LiHfAgPb after structural relaxation.

Calculated values
- ΔE_f (eV/atom) = -0.04

Cell: 6.890 6.890 6.890 Å, 90.00 90.00 90.00°
Space group F-43m (No. 216)
Symmetry-distinct sites (fractional):
Li  0.000  0.000  0.000 x4
Hf  0.000  0.000  0.500 x4
Ag  0.250  0.250  0.250 x4
Pb  0.250  0.250  0.750 x4

***

# 15
The following is a DFT calculation (PBE) of LiHfAgPt after structural relaxation.

Calculated values
- ΔE_f (eV/atom) = -0.49

Cell: 6.476 6.476 6.476 Å, 90.00 90.00 90.00°
Space group F-43m (No. 216)
Symmetry-distinct sites (fractional):
Li  0.000  0.000  0.000 x4
Hf  0.000  0.000  0.500 x4
Ag  0.250  0.250  0.250 x4
Pt  0.250  0.250  0.750 x4

***

# 16
The following is a DFT calculation (PBE) of LiHfAgRh2 after structural relaxation.

Calculated values
- ΔE_f (eV/atom) = 0.37

Cell: 4.220 4.220 4.399 Å, 90.00 90.00 90.00°
Space group P4/mmm (No. 123)
Symmetry-distinct sites (fractional):
Li  0.000  0.000  0.000 x1
Hf  0.000  0.000  0.500 x1
Ag  0.500  0.500  0.500 x1
Rh  0.000  0.500  0.000 x2

***

# 17
The following is a DFT calculation (PBE) of LiHf2Ag2S6 after structural relaxation.

Calculated values
- formation energy without anion corrections (kcal/mol of atoms) = -22.88

Cell: 6.514 10.966 6.497 Å, 90.00 99.31 90.00°
Space group C2/m (No. 12)
Symmetry-distinct sites (fractional):
Li  0.000  0.000  0.000 x2
Hf  0.000  0.325  0.000 x4
Ag  0.000  0.338  0.500 x4
S  0.136  0.500  0.787 x4
S  0.141  0.170  0.773 x8

***

# 18
The following is a DFT calculation (PBE) of Li4Hf3AgS8 after structural relaxation.

Calculated values
- formation energy without anion corrections (kcal/mol of atoms) = -30.80

Cell: 7.3827 7.3827 18.3689 Å, 90.00 90.00 120.00°
Space group R-3m (No. 166, hexagonal axes)
Symmetry-distinct sites (fractional):
Li  0.0000  0.0000  0.0000 x3
Li  0.0000  0.5000  0.0000 x9
Hf  0.0000  0.5000  0.5000 x9
Ag  0.0000  0.0000  0.5000 x3
S  0.0000  0.0000  0.2477 x6
S  0.0174  0.5087  0.7516 x18

***

# 19
The following is a DFT calculation (PBE) of Li2HfAgS4 after structural relaxation.

Calculated values
- formation energy without anion corrections (kcal/mol of atoms) = -20.80

Cell: 6.991 6.991 6.605 Å, 90.00 90.00 90.00°
Space group I-42m (No. 121)
Symmetry-distinct sites (fractional):
Li  0.000  0.500  0.250 x4
Hf  0.000  0.000  0.000 x2
Ag  0.000  0.000  0.500 x2
S  0.192  0.192  0.775 x8

***

# 20
The following is a DFT calculation (PBE) of LiHfAgS2 after structural relaxation.

Calculated values
- formation energy without anion corrections (kcal/mol of atoms) = -1.85

Cell: 4.885 4.885 5.499 Å, 90.00 90.00 90.00°
Space group P4/mmm (No. 123)
Symmetry-distinct sites (fractional):
Li  0.000  0.000  0.000 x1
Hf  0.000  0.000  0.500 x1
Ag  0.500  0.500  0.000 x1
S  0.000  0.500  0.500 x2